A plane-wave DFT calculation with GGA-PBE was carried out for a relaxed Ta2InAs4 crystal.

Summary:
- DOS(E_F) (states/eV/f.u.) = 5.31
- raw total energy (eV per atom) = -5.67
- magnetic moment (μB per atom) = 0.0000
- ΔE_f (kJ per mole of atoms) = 74
- SG = I4/mmm (139)

Cell: 5.148 5.148 7.559 Å, 70.09 70.09 90.00°
Positions (direct):
As 0.780 0.780 0.440
As 0.220 0.220 0.560
As 0.000 0.500 0.000
As 0.500 0.000 0.000
In 0.000 0.000 0.000
Ta 0.597 0.597 0.806
Ta 0.403 0.403 0.194

A plane-wave DFT calculation with GGA-PBE was carried out for a relaxed Rb7BiO2 crystal.

Summary:
- DOS(E_F) (states/eV/f.u.) = 1.08
- raw total energy (eV per atom) = -2.69
- magnetic moment (μB per atom) = 0.0000
- formation energy (no corrections) (meV/atom) = -637
- SG = Cmmm (65)

Cell: 5.769 8.618 8.618 Å, 115.72 90.00 90.00°
Positions (direct):
Rb 0.000 0.708 0.292
Rb 0.000 0.292 0.708
Rb 0.500 0.042 0.327
Rb 0.500 0.958 0.673
Rb 0.500 0.327 0.042
Rb 0.500 0.673 0.958
Rb 0.500 0.500 0.500
Bi 0.000 0.000 0.000
O 0.500 0.694 0.306
O 0.500 0.306 0.694

A plane-wave DFT calculation with GGA-PBE was carried out for a relaxed SrDyHo2S4 crystal.

Summary:
- DOS(E_F) (states/eV/f.u.) = 2.63
- raw total energy (eV per atom) = -5.98
- magnetic moment (μB per atom) = 0.0000
- formation energy (no corrections) (meV/atom) = -1982
- SG = P2/m (10)

Cell: 3.949 6.891 6.890 Å, 70.93 90.00 90.00°
Positions (direct):
Sr 0.500 0.500 0.000
Dy 0.000 0.500 0.500
Ho 0.000 0.000 0.000
Ho 0.500 0.000 0.500
S 0.000 0.764 0.737
S 0.000 0.236 0.263
S 0.500 0.758 0.255
S 0.500 0.242 0.745